A relaxed LiCuAsOs crystal, computed with GGA-PBE.

Properties
Magnetization = 0.00 Bohr magnetons per cell
E above lowest polymorph = 0 meV/atom

Cell: 5.9204 5.9204 5.9204 Å, 90.00 90.00 90.00°
Space group F-43m (No. 216)
Asymmetric unit:
Li1 0.0000 0.0000 0.0000
Cu1 0.2500 0.2500 0.7500
As1 0.0000 0.0000 0.5000
Os1 0.2500 0.2500 0.2500



A relaxed LiCuAsOs crystal, computed with GGA-PBE.

Properties
Magnetization = 0.06 Bohr magnetons per cell
E above lowest polymorph = 319 meV/atom

Cell: 5.9984 5.9984 5.9984 Å, 90.00 90.00 90.00°
Space group F-43m (No. 216)
Asymmetric unit:
Li1 0.0000 0.0000 0.0000
Cu1 0.0000 0.0000 0.5000
As1 0.2500 0.2500 0.2500
Os1 0.2500 0.2500 0.7500



A relaxed Li4CuAsPd2 crystal, computed with GGA-PBE.

Properties
Electronic total energy = -3.748 eV/atom

Cell: 4.3461 4.3461 5.8036 Å, 90.00 90.00 90.00°
Space group P-4m2 (No. 115)
Asymmetric unit:
Li1 0.0000 0.0000 0.0000
Li2 0.0000 0.5000 0.2441
Li3 0.5000 0.5000 0.5000
Cu1 0.5000 0.5000 0.0000
As1 0.0000 0.0000 0.5000
Pd1 0.0000 0.5000 0.7413



A relaxed Li4CuAs2Pd crystal, computed with GGA-PBE.

Properties
Electronic total energy = -3.799 eV/atom

Cell: 4.2273 4.2273 6.0340 Å, 90.00 90.00 90.00°
Space group P-4m2 (No. 115)
Asymmetric unit:
Li1 0.0000 0.0000 0.0000
Li2 0.0000 0.5000 0.2468
Li3 0.5000 0.5000 0.5000
Cu1 0.5000 0.5000 0.0000
As1 0.0000 0.5000 0.7584
Pd1 0.0000 0.0000 0.5000



A relaxed Li2Cu2SbAs crystal, computed with GGA-PBE.

Properties
Electronic total energy = -3.668 eV/atom

Cell: 3.9135 3.9135 6.3653 Å, 90.00 90.00 90.00°
Space group P4mm (No. 99)
Asymmetric unit:
Li1 0.0000 0.0000 0.0000
Li2 0.5000 0.5000 0.3627
Cu1 0.0000 0.5000 0.7084
Sb1 0.0000 0.0000 0.4278
As1 0.5000 0.5000 0.9487



A relaxed LiCuTcAs crystal, computed with GGA-PBE.

Properties
Magnetization = 5.80 Bohr magnetons per cell
E above lowest polymorph = 360 meV/atom

Cell: 6.0224 6.0224 6.0224 Å, 90.00 90.00 90.00°
Space group F-43m (No. 216)
Asymmetric unit:
Li1 0.0000 0.0000 0.0000
Cu1 0.0000 0.0000 0.5000
Tc1 0.2500 0.2500 0.7500
As1 0.2500 0.2500 0.2500